A plane-wave DFT calculation with GGA+U was carried out for an optimized crystal structure of CoCOF2.

Values from the calculation:
offset from the most stable computed form = 198 meV/atom
Fermi-level density of states = 0.481 states/eV per atom
M_tot = 4.96 μB/cell
space group = No. 123

a b c (Å): 3.9553 3.9553 3.7157
angles (deg): 90.00 90.00 90.00
Closest atoms and distances in Å follow each position.
Fractional positions:
Co 0.0000 0.0000 0.0000  2 O 1.86, 4 F 1.98
C 0.5000 0.5000 0.5000  8 F 2.71, 4 O 2.80
O 0.0000 0.0000 0.5000  2 Co 1.86
F 0.0000 0.5000 0.0000  2 Co 1.98
F 0.5000 0.0000 0.0000  2 Co 1.98